Entry 1:
! LiAcAlGa | the Alexandria database | PBE | optimized geometry; values from VASP
&SYSTEM
  ibrav = 0, nat = 4, ntyp = 4
/
ATOMIC_SPECIES
Ac 227.00 Ac.upf
Al 26.98 Al.upf
Ga 69.72 Ga.upf
Li 6.94 Li.upf
ATOMIC_POSITIONS crystal
Ac 0.0000 0.0000 0.0000
Al 0.5000 0.5000 0.5000
Ga 0.2500 0.2500 0.2500
Li 0.7500 0.7500 0.7500
CELL_PARAMETERS angstrom
5.0819 0.0000 0.0000
2.5410 4.4011 0.0000
2.5410 1.4670 4.1494
! **D(E_F)**: 2.626 states/eV per cell
! **E_form**: -0.1945 eV/atom
! **Calculated volume**: 23.20 Å³ per atom
! **Mass density**: 5.92 Mg/m³

***

Entry 2:
! LiAcAlGa3 | the Alexandria database | PBE | optimized geometry; values from VASP
&SYSTEM
  ibrav = 0, nat = 12, ntyp = 4
/
ATOMIC_SPECIES
Li 6.94 Li.upf
Ac 227.00 Ac.upf
Al 26.98 Al.upf
Ga 69.72 Ga.upf
ATOMIC_POSITIONS crystal
Li 0.2500 0.5974 0.1947
Li 0.7500 0.4026 0.8053
Ac 0.7500 0.1868 0.3736
Ac 0.2500 0.8132 0.6264
Al 0.2500 0.1244 0.2487
Al 0.7500 0.8756 0.7513
Ga 0.2500 0.3971 0.7941
Ga 0.0000 0.2229 0.0000
Ga 0.5000 0.7771 0.0000
Ga 0.5000 0.2229 0.0000
Ga 0.0000 0.7771 0.0000
Ga 0.7500 0.6029 0.2059
CELL_PARAMETERS angstrom
-2.1078 -5.4668 1.9324
4.3176 -0.2653 3.9588
-6.5985 3.6391 3.0978
! **D(E_F)**: 3.836 states/eV per cell
! **E_form**: -0.2046 eV/atom
! **Calculated volume**: 22.92 Å³ per atom
! **Mass density**: 5.68 Mg/m³

***

Entry 3:
! LiAcAlGa2 | the Alexandria database | PBE | optimized geometry; values from VASP
&SYSTEM
  ibrav = 0, nat = 5, ntyp = 4
/
ATOMIC_SPECIES
Li 6.94 Li.upf
Ac 227.00 Ac.upf
Al 26.98 Al.upf
Ga 69.72 Ga.upf
ATOMIC_POSITIONS crystal
Li 0.7500 0.2500 0.5000
Ac 0.0000 0.0000 0.0000
Al 0.2500 0.7500 0.5000
Ga 0.6174 0.6174 0.2348
Ga 0.3826 0.3826 0.7652
CELL_PARAMETERS angstrom
-0.9787 -0.5241 4.2923
-4.0638 -1.3926 -1.0967
4.3710 -4.2690 -1.8143
! **D(E_F)**: 1.459 states/eV per cell
! **E_form**: -0.4821 eV/atom
! **Calculated volume**: 21.82 Å³ per atom
! **Mass density**: 6.10 Mg/m³